A plane-wave DFT calculation with PBE was carried out for a geometry-optimized Tb3NdSmTh structure.

- Space group: No. 11

a = 5.090 Å, b = 8.025 Å, c = 10.801 Å
α = 116.45°, β = 90.00°, γ = 90.00°
Element x y z (fractional)
1 Tb 0.750 0.875 0.044
2 Tb 0.250 0.125 0.956
3 Tb 0.250 0.632 0.457
4 Tb 0.750 0.368 0.543
5 Tb 0.750 0.379 0.209
6 Tb 0.250 0.621 0.791
7 Nd 0.250 0.121 0.294
8 Nd 0.750 0.879 0.706
9 Sm 0.250 0.628 0.129
10 Sm 0.750 0.372 0.871
11 Th 0.250 0.122 0.622
12 Th 0.750 0.878 0.378


A plane-wave DFT calculation with PBE was carried out for a geometry-optimized TbNdSmTh structure.

- Energy relative to the lowest polymorph listed for this composition: 0.000 eV/atom
- Space group: No. 99

a = 3.606 Å, b = 3.606 Å, c = 10.265 Å
α = 90.00°, β = 90.00°, γ = 90.00°
Element x y z (fractional)
1 Tb 0.500 0.500 0.332
2 Nd 0.000 0.000 0.074
3 Sm 0.500 0.500 0.810
4 Th 0.000 0.000 0.569


A plane-wave DFT calculation with PBE was carried out for a geometry-optimized Tb2NdSm4Th structure.

- Space group: No. 10

a = 5.107 Å, b = 5.102 Å, c = 11.443 Å
α = 63.48°, β = 90.00°, γ = 90.00°
Element x y z (fractional)
1 Tb 0.000 0.000 0.000
2 Tb 0.500 0.000 0.500
3 Nd 0.500 0.500 0.000
4 Sm 0.000 0.753 0.746
5 Sm 0.000 0.247 0.254
6 Sm 0.500 0.746 0.255
7 Sm 0.500 0.254 0.745
8 Th 0.000 0.500 0.500


| no. | ρ (g/cm³) | calculated total energy (eV per atom) | calculated formation energy (eV/f.u.) |
| --- | --- | --- | --- |
| 1 | 8.44 | -5.10 | 0.19 |
| 2 | 8.53 | -5.36 | 0.10 |
| 3 | 8.06 | -5.01 | 0.26 |